# 1
# BeTl7 | Alexandria via LeMat-Bulk | PBE | optimized geometry
data_BeTl7
_cell_length_a 6.8714
_cell_length_b 6.8714
_cell_length_c 6.8714
_cell_angle_alpha 60.00
_cell_angle_beta 60.00
_cell_angle_gamma 60.00
_symmetry_space_group_name_H-M 'P 1'
_symmetry_Int_Tables_number 1
loop_
_symmetry_equiv_pos_as_xyz
'x,y,z'
loop_
_atom_site_label
_atom_site_type_symbol
_atom_site_fract_x
_atom_site_fract_y
_atom_site_fract_z
_atom_site_occupancy
Be1 Be 0.0000 0.0000 0.0000 1
Tl1 Tl 0.5000 0.5000 0.0000 1
Tl2 Tl 0.5000 0.0000 0.5000 1
Tl3 Tl 0.5000 0.0000 0.0000 1
Tl4 Tl 0.0000 0.0000 0.5000 1
Tl5 Tl 0.0000 0.5000 0.0000 1
Tl6 Tl 0.0000 0.5000 0.5000 1
Tl7 Tl 0.5000 0.5000 0.5000 1
# VASP energy: -17.813 eV for the cell shown
# Energy of formation: 7.140 kcal/mol of atoms

# 2
# Be2Tl | Alexandria via LeMat-Bulk | PBE | optimized geometry
data_Be2Tl
_cell_length_a 6.2158
_cell_length_b 6.2158
_cell_length_c 6.2158
_cell_angle_alpha 152.62
_cell_angle_beta 152.62
_cell_angle_gamma 39.11
_symmetry_space_group_name_H-M 'P 1'
_symmetry_Int_Tables_number 1
loop_
_symmetry_equiv_pos_as_xyz
'x,y,z'
loop_
_atom_site_label
_atom_site_type_symbol
_atom_site_fract_x
_atom_site_fract_y
_atom_site_fract_z
_atom_site_occupancy
Be1 Be 0.2766 0.2766 0.0000 1
Be2 Be 0.7234 0.7234 0.0000 1
Tl1 Tl 0.0000 0.0000 0.0000 1
# Energy above the most stable polymorph in this dataset: 407.7 meV/atom
# VASP energy: -7.787 eV for the cell shown
# Energy of formation: 15.614 kcal/mol of atoms

# 3
# BeTl2 | Alexandria via LeMat-Bulk | PBE | optimized geometry
data_BeTl2
_cell_length_a 4.3003
_cell_length_b 7.8464
_cell_length_c 8.1586
_cell_angle_alpha 90.00
_cell_angle_beta 90.00
_cell_angle_gamma 90.00
_symmetry_space_group_name_H-M 'P 1'
_symmetry_Int_Tables_number 1
loop_
_symmetry_equiv_pos_as_xyz
'x,y,z'
loop_
_atom_site_label
_atom_site_type_symbol
_atom_site_fract_x
_atom_site_fract_y
_atom_site_fract_z
_atom_site_occupancy
Be1 Be 0.2500 0.7688 0.3765 1
Be2 Be 0.7500 0.7312 0.8765 1
Be3 Be 0.2500 0.2688 0.1235 1
Be4 Be 0.7500 0.2312 0.6235 1
Tl1 Tl 0.2500 0.0259 0.8334 1
Tl2 Tl 0.7500 0.4741 0.3334 1
Tl3 Tl 0.2500 0.5259 0.6666 1
Tl4 Tl 0.7500 0.9741 0.1666 1
Tl5 Tl 0.2500 0.1535 0.4340 1
Tl6 Tl 0.7500 0.3465 0.9340 1
Tl7 Tl 0.2500 0.6535 0.0660 1
Tl8 Tl 0.7500 0.8465 0.5660 1
# Energy above the most stable polymorph in this dataset: 100.7 meV/atom
# VASP energy: -27.670 eV for the cell shown
# Energy of formation: 11.847 kcal/mol of atoms

# 4
# Be2Tl | Alexandria via LeMat-Bulk | PBE | optimized geometry
data_Be2Tl
_cell_length_a 3.0731
_cell_length_b 3.0731
_cell_length_c 5.9113
_cell_angle_alpha 90.00
_cell_angle_beta 90.00
_cell_angle_gamma 120.00
_symmetry_space_group_name_H-M 'P 1'
_symmetry_Int_Tables_number 1
loop_
_symmetry_equiv_pos_as_xyz
'x,y,z'
loop_
_atom_site_label
_atom_site_type_symbol
_atom_site_fract_x
_atom_site_fract_y
_atom_site_fract_z
_atom_site_occupancy
Be1 Be 0.6667 0.3333 0.6226 1
Be2 Be 0.3333 0.6667 0.3774 1
Tl1 Tl 0.0000 0.0000 0.0000 1
# Energy above the most stable polymorph in this dataset: 556.3 meV/atom
# VASP energy: -7.342 eV for the cell shown
# Energy of formation: 19.042 kcal/mol of atoms

# 5
# Be4Tl3 | Alexandria via LeMat-Bulk | PBE | optimized geometry
data_Be4Tl3
_cell_length_a 6.2948
_cell_length_b 6.2948
_cell_length_c 4.1182
_cell_angle_alpha 90.00
_cell_angle_beta 90.00
_cell_angle_gamma 120.00
_symmetry_space_group_name_H-M 'P 1'
_symmetry_Int_Tables_number 1
loop_
_symmetry_equiv_pos_as_xyz
'x,y,z'
loop_
_atom_site_label
_atom_site_type_symbol
_atom_site_fract_x
_atom_site_fract_y
_atom_site_fract_z
_atom_site_occupancy
Be1 Be 0.0000 0.0000 0.2515 1
Be2 Be 0.0000 0.0000 0.7485 1
Be3 Be 0.6667 0.3333 0.5000 1
Be4 Be 0.3333 0.6667 0.5000 1
Tl1 Tl 0.0000 0.5000 0.0000 1
Tl2 Tl 0.5000 0.5000 0.0000 1
Tl3 Tl 0.5000 0.0000 0.0000 1
# Energy above the most stable polymorph in this dataset: 393.3 meV/atom
# VASP energy: -15.109 eV for the cell shown
# Energy of formation: 22.714 kcal/mol of atoms

# 6
# BeTl | Alexandria via LeMat-Bulk | PBE | optimized geometry
data_BeTl
_cell_length_a 4.5350
_cell_length_b 4.5350
_cell_length_c 4.5350
_cell_angle_alpha 73.05
_cell_angle_beta 73.05
_cell_angle_gamma 73.05
_symmetry_space_group_name_H-M 'P 1'
_symmetry_Int_Tables_number 1
loop_
_symmetry_equiv_pos_as_xyz
'x,y,z'
loop_
_atom_site_label
_atom_site_type_symbol
_atom_site_fract_x
_atom_site_fract_y
_atom_site_fract_z
_atom_site_occupancy
Be1 Be 0.1052 0.1052 0.1052 1
Be2 Be 0.8948 0.8948 0.8948 1
Tl1 Tl 0.3532 0.3532 0.3532 1
Tl2 Tl 0.6468 0.6468 0.6468 1
# Energy above the most stable polymorph in this dataset: 422.2 meV/atom
# VASP energy: -8.745 eV for the cell shown
# Energy of formation: 19.834 kcal/mol of atoms

# 7
# BeTl2 | Alexandria via LeMat-Bulk | PBE | optimized geometry
data_BeTl2
_cell_length_a 5.7277
_cell_length_b 5.7277
_cell_length_c 5.7277
_cell_angle_alpha 101.76
_cell_angle_beta 101.76
_cell_angle_gamma 126.33
_symmetry_space_group_name_H-M 'P 1'
_symmetry_Int_Tables_number 1
loop_
_symmetry_equiv_pos_as_xyz
'x,y,z'
loop_
_atom_site_label
_atom_site_type_symbol
_atom_site_fract_x
_atom_site_fract_y
_atom_site_fract_z
_atom_site_occupancy
Be1 Be 0.2500 0.2500 0.0000 1
Be2 Be 0.7500 0.7500 0.0000 1
Tl1 Tl 0.3396 0.1604 0.5000 1
Tl2 Tl 0.6604 0.8396 0.5000 1
Tl3 Tl 0.1604 0.6604 0.8208 1
Tl4 Tl 0.8396 0.3396 0.1792 1
# Energy above the most stable polymorph in this dataset: 56.0 meV/atom
# VASP energy: -14.103 eV for the cell shown
# Energy of formation: 10.816 kcal/mol of atoms

# 8
# BeTl2 | Alexandria via LeMat-Bulk | PBE | optimized geometry
data_BeTl2
_cell_length_a 6.8977
_cell_length_b 6.8977
_cell_length_c 6.8977
_cell_angle_alpha 152.45
_cell_angle_beta 152.45
_cell_angle_gamma 39.36
_symmetry_space_group_name_H-M 'P 1'
_symmetry_Int_Tables_number 1
loop_
_symmetry_equiv_pos_as_xyz
'x,y,z'
loop_
_atom_site_label
_atom_site_type_symbol
_atom_site_fract_x
_atom_site_fract_y
_atom_site_fract_z
_atom_site_occupancy
Be1 Be 0.0000 0.0000 0.0000 1
Tl1 Tl 0.6388 0.6388 0.0000 1
Tl2 Tl 0.3612 0.3612 0.0000 1
# Energy above the most stable polymorph in this dataset: 156.3 meV/atom
# VASP energy: -6.751 eV for the cell shown
# Energy of formation: 13.129 kcal/mol of atoms

# 9
# BeTl | Alexandria via LeMat-Bulk | PBE | optimized geometry
data_BeTl
_cell_length_a 4.2939
_cell_length_b 4.2939
_cell_length_c 4.2939
_cell_angle_alpha 46.17
_cell_angle_beta 46.17
_cell_angle_gamma 46.17
_symmetry_space_group_name_H-M 'P 1'
_symmetry_Int_Tables_number 1
loop_
_symmetry_equiv_pos_as_xyz
'x,y,z'
loop_
_atom_site_label
_atom_site_type_symbol
_atom_site_fract_x
_atom_site_fract_y
_atom_site_fract_z
_atom_site_occupancy
Be1 Be 0.0000 0.0000 0.0000 1
Tl1 Tl 0.5000 0.5000 0.5000 1
# Energy above the most stable polymorph in this dataset: 307.6 meV/atom
# VASP energy: -4.602 eV for the cell shown
# Energy of formation: 17.189 kcal/mol of atoms

# 10
# BeTl4 | Alexandria via LeMat-Bulk | PBE | optimized geometry
data_BeTl4
_cell_length_a 9.1768
_cell_length_b 9.1768
_cell_length_c 9.1768
_cell_angle_alpha 153.18
_cell_angle_beta 153.18
_cell_angle_gamma 38.29
_symmetry_space_group_name_H-M 'P 1'
_symmetry_Int_Tables_number 1
loop_
_symmetry_equiv_pos_as_xyz
'x,y,z'
loop_
_atom_site_label
_atom_site_type_symbol
_atom_site_fract_x
_atom_site_fract_y
_atom_site_fract_z
_atom_site_occupancy
Be1 Be 0.0000 0.0000 0.0000 1
Tl1 Tl 0.7500 0.2500 0.5000 1
Tl2 Tl 0.2500 0.7500 0.5000 1
Tl3 Tl 0.5885 0.5885 0.0000 1
Tl4 Tl 0.4115 0.4115 0.0000 1
# Energy above the most stable polymorph in this dataset: 366.7 meV/atom
# VASP energy: -9.996 eV for the cell shown
# Energy of formation: 14.736 kcal/mol of atoms

# 11
# Be2Tl | Alexandria via LeMat-Bulk | PBE | optimized geometry
data_Be2Tl
_cell_length_a 5.8980
_cell_length_b 5.8980
_cell_length_c 5.8980
_cell_angle_alpha 136.90
_cell_angle_beta 136.90
_cell_angle_gamma 62.59
_symmetry_space_group_name_H-M 'P 1'
_symmetry_Int_Tables_number 1
loop_
_symmetry_equiv_pos_as_xyz
'x,y,z'
loop_
_atom_site_label
_atom_site_type_symbol
_atom_site_fract_x
_atom_site_fract_y
_atom_site_fract_z
_atom_site_occupancy
Be1 Be 0.1753 0.6753 0.8506 1
Be2 Be 0.8247 0.3247 0.1494 1
Be3 Be 0.6753 0.8247 0.5000 1
Be4 Be 0.3247 0.1753 0.5000 1
Tl1 Tl 0.7500 0.7500 0.0000 1
Tl2 Tl 0.2500 0.2500 0.0000 1
# Energy above the most stable polymorph in this dataset: 222.4 meV/atom
# VASP energy: -16.687 eV for the cell shown
# Energy of formation: 11.341 kcal/mol of atoms

# 12
# TmBeTl | Alexandria via LeMat-Bulk | PBE | optimized geometry
data_TmBeTl
_cell_length_a 6.3418
_cell_length_b 6.3418
_cell_length_c 6.3418
_cell_angle_alpha 90.00
_cell_angle_beta 90.00
_cell_angle_gamma 90.00
_symmetry_space_group_name_H-M 'P 1'
_symmetry_Int_Tables_number 1
loop_
_symmetry_equiv_pos_as_xyz
'x,y,z'
loop_
_atom_site_label
_atom_site_type_symbol
_atom_site_fract_x
_atom_site_fract_y
_atom_site_fract_z
_atom_site_occupancy
Tl1 Tl 0.4999 0.4999 0.4999 1
Tl2 Tl 0.0001 0.5001 0.9999 1
Tl3 Tl 0.9999 0.0001 0.5001 1
Tl4 Tl 0.5001 0.9999 0.0001 1
Be1 Be 0.2501 0.2501 0.2501 1
Be2 Be 0.2499 0.7499 0.7501 1
Be3 Be 0.7501 0.2499 0.7499 1
Be4 Be 0.7499 0.7501 0.2499 1
Tm1 Tm 0.0001 0.0001 0.0001 1
Tm2 Tm 0.4999 0.9999 0.5001 1
Tm3 Tm 0.5001 0.4999 0.9999 1
Tm4 Tm 0.9999 0.5001 0.4999 1
# VASP energy: -42.844 eV for the cell shown
# Energy of formation: -1.130 kcal/mol of atoms

Which value of energy of formation does entry 12 give? -1.130 kcal/mol of atoms

Look up the VASP energy of the twelfth one. -42.844 eV for the cell shown

The highest VASP energy belongs to which entry? number 9

VASP energy of number 5 (Be4Tl3)? -15.109 eV for the cell shown